No. 1
DFT (PBE-GGA) results for Tb4GaCo after structural relaxation.

## Properties
Relative energy among the computed polymorphs   3.2 meV per atom
E_form   -0.262 eV/atom
Crystal system   monoclinic

Cell lengths 5.936, 6.711, 7.769 Å; angles 90.00, 93.33, 90.00 degrees
Space group P2_1/m (No. 11)
Inequivalent atoms, fractional coordinates:
1 Tb 0.101 0.001 0.221 [4 per cell]
2 Tb 0.357 0.250 0.620 [2 per cell]
3 Tb 0.393 0.750 0.907 [2 per cell]
4 Ga 0.196 0.750 0.547 [2 per cell]
5 Co 0.194 0.250 0.944 [2 per cell]



No. 2
DFT (PBE-GGA) results for Ce5Co2I2 after structural relaxation.

## Properties
Energy relative to the elements, uncorrected   -0.43 eV per atom
Crystal system   orthorhombic

Cell lengths 16.277, 8.370, 6.976 Å; angles 90.00, 90.00, 90.00 degrees
Space group Cmce (No. 64)
Inequivalent atoms, fractional coordinates:
1 Ce 0.000 0.000 0.000 [4 per cell]
2 Ce 0.109 0.171 0.364 [16 per cell]
3 Co 0.000 0.102 0.676 [8 per cell]
4 I 0.206 0.000 0.000 [8 per cell]



No. 3
DFT (PBE-GGA) results for Rb2CeF8 after structural relaxation.

## Properties
Energy relative to the elements, uncorrected   -2.69 eV per atom
Crystal system   monoclinic

Cell lengths 13.880, 4.638, 6.384 Å; angles 90.00, 114.06, 90.00 degrees
Space group C2/m (No. 12)
Inequivalent atoms, fractional coordinates:
1 Rb 0.177 0.000 0.172 [4 per cell]
2 Ce 0.000 0.500 0.500 [2 per cell]
3 F 0.015 0.000 0.708 [4 per cell]
4 F 0.114 0.500 0.850 [4 per cell]
5 F 0.126 0.500 0.387 [4 per cell]
6 F 0.154 0.000 0.681 [4 per cell]



No. 4
DFT (PBE-GGA) results for AlIN2F after structural relaxation.

## Properties
Energy relative to the elements, uncorrected   1.19 eV per atom
Relative energy among the computed polymorphs   1190.1 meV per atom
Crystal system   tetragonal

Cell lengths 4.091, 4.091, 4.796 Å; angles 90.00, 90.00, 90.00 degrees
Space group P4/mmm (No. 123)
Inequivalent atoms, fractional coordinates:
1 Al 0.000 0.000 0.000 [1 per cell]
2 I 0.500 0.500 0.500 [1 per cell]
3 N 0.000 0.500 0.500 [2 per cell]
4 F 0.500 0.500 0.000 [1 per cell]



No. 5
DFT (PBE-GGA) results for ScOs after structural relaxation.

## Properties
E_form   -0.325 eV/atom
Crystal system   orthorhombic

Cell lengths 3.155, 4.485, 9.561 Å; angles 90.00, 90.00, 90.00 degrees
Space group Imma (No. 74)
Inequivalent atoms, fractional coordinates:
1 Sc 0.000 0.250 0.115 [4 per cell]
2 Os 0.000 0.250 0.637 [4 per cell]



No. 6
DFT (PBE-GGA) results for LaMgIn2 after structural relaxation.

## Properties
E_form   -0.228 eV/atom
Crystal system   monoclinic

Cell lengths 10.881, 3.642, 5.872 Å; angles 90.00, 104.11, 90.00 degrees
Space group Cm (No. 8)
Inequivalent atoms, fractional coordinates:
1 La 0.000 0.000 0.000 [2 per cell]
2 Mg 0.231 0.000 0.682 [2 per cell]
3 In 0.257 0.500 0.250 [2 per cell]
4 In 0.489 0.000 0.504 [2 per cell]



No. 7
DFT (PBE-GGA) results for ThO2F after structural relaxation.

## Properties
Energy relative to the elements, uncorrected   -2.63 eV per atom
Relative energy among the computed polymorphs   346.6 meV per atom
Crystal system   tetragonal

Cell lengths 3.397, 3.397, 4.660 Å; angles 90.00, 90.00, 90.00 degrees
Space group P4/mmm (No. 123)
Inequivalent atoms, fractional coordinates:
1 Th 0.000 0.000 0.000 [1 per cell]
2 O 0.500 0.500 0.205 [2 per cell]
3 F 0.000 0.000 0.500 [1 per cell]



No. 8
DFT (PBE-GGA) results for MnFeNi2 after structural relaxation.

## Properties
E_form   -0.007 eV/atom
Crystal system   orthorhombic

Cell lengths 5.228, 6.910, 2.604 Å; angles 90.00, 90.00, 90.00 degrees
Space group Cmmm (No. 65)
Inequivalent atoms, fractional coordinates:
1 Mn 0.000 0.000 0.000 [2 per cell]
2 Fe 0.000 0.500 0.000 [2 per cell]
3 Ni 0.250 0.250 0.500 [4 per cell]



No. 9
DFT (PBE-GGA) results for Er3NbO after structural relaxation.

## Properties
Energy relative to the elements, uncorrected   -1.03 eV per atom
Crystal system   cubic

Cell lengths 4.705, 4.705, 4.705 Å; angles 90.00, 90.00, 90.00 degrees
Space group Pm-3m (No. 221)
Inequivalent atoms, fractional coordinates:
1 Er 0.000 0.000 0.500 [3 per cell]
2 Nb 0.500 0.500 0.500 [1 per cell]
3 O 0.000 0.000 0.000 [1 per cell]



No. 10
DFT (PBE-GGA) results for Rb2ZrH2 after structural relaxation.

## Properties
Relative energy among the computed polymorphs   0.0 meV per atom
Crystal system   tetragonal

Cell lengths 8.961, 8.961, 3.257 Å; angles 90.00, 90.00, 90.00 degrees
Space group P4/mbm (No. 127)
Inequivalent atoms, fractional coordinates:
1 Rb 0.138 0.362 0.000 [4 per cell]
2 Zr 0.000 0.000 0.000 [2 per cell]
3 H 0.158 0.658 0.500 [4 per cell]



No. 11
DFT (PBE-GGA) results for Ba4P after structural relaxation.

## Properties
Relative energy among the computed polymorphs   10.1 meV per atom
E_form   -0.424 eV/atom
Crystal system   tetragonal

Cell lengths 10.958, 10.958, 4.142 Å; angles 90.00, 90.00, 90.00 degrees
Space group I4/m (No. 87)
Inequivalent atoms, fractional coordinates:
1 Ba 0.050 0.768 0.000 [8 per cell]
2 P 0.000 0.000 0.500 [2 per cell]



No. 12
DFT (PBE-GGA) results for MoRu4Rh after structural relaxation.

## Properties
Relative energy among the computed polymorphs   0.0 meV per atom
E_form   0.008 eV/atom
Crystal system   orthorhombic

Cell lengths 3.868, 11.489, 3.851 Å; angles 90.00, 90.00, 90.00 degrees
Space group Cmmm (No. 65)
Inequivalent atoms, fractional coordinates:
1 Mo 0.000 0.000 0.000 [2 per cell]
2 Ru 0.000 0.168 0.500 [4 per cell]
3 Ru 0.000 0.331 0.000 [4 per cell]
4 Rh 0.000 0.500 0.500 [2 per cell]



No. 13
DFT (PBE-GGA) results for PrDy4Y8 after structural relaxation.

## Properties
E_form   0.200 eV/atom
Crystal system   trigonal

Cell lengths 7.3327, 7.3327, 27.2733 Å; angles 90.00, 90.00, 120.00 degrees
Space group R-3m (No. 166, hexagonal axes)
Inequivalent atoms, fractional coordinates:
1 Pr 0.0000 0.0000 0.0000 [3 per cell]
2 Dy 0.0000 0.0000 0.5000 [3 per cell]
3 Dy 0.0000 0.5000 0.5000 [9 per cell]
4 Y 0.0000 0.0000 0.2819 [6 per cell]
5 Y 0.0359 0.5179 0.2680 [18 per cell]



Quick rundown of ρ, same order as above: 8.2 7.5 4.1 4.2 11.5 5.8 8.7 8.1 9.7 3.4 3.9 11.7 5.9 g/cm3